Computed, not measured: a geometry-optimized TbPmPtBr structure at the PBE level of DFT.

Calculated values
**Spin magnetization**: 0.0000 μB per atom
**VASP energy**: -5.511 eV per atom
**Formation energy without anion corrections**: -1.237 eV/atom

Unit cell a=4.1329 b=4.1322 c=8.1360 alpha=90.00 beta=104.72 gamma=120.00
Sites, in units of the cell vectors:
Tb1 0.0999 0.9478 0.0631
Pm1 0.5064 0.1511 0.6729
Pt1 0.3081 0.5519 0.8753
Br1 0.9634 0.3800 0.3583